Record 1
TbTh3C3 | PBE | relaxed

Unit cell a=11.6732 b=11.6732 c=3.5589 alpha=90.00 beta=90.00 gamma=120.00
Closest atoms and distances in Å follow each position.
Space group R3m (No. 160, hexagonal axes)
Symmetry-distinct sites (fractional):
Tb  0.0000  0.0000  0.0000 [3 per cell]  6 C 2.52-2.76
Th  0.1810  0.3619  0.0798 [9 per cell]  2 C 2.39-2.55
C  0.0963  0.1926  0.5500 [9 per cell]  2 Th 2.39-2.55, 1 Tb 2.52

Values from the calculation:
- E: -0.581 Ry per atom
- Energy above the most stable polymorph in this dataset: 2.32 kcal/mol of atoms
- Magnetization: 0.000 μB per cell



Record 2
Cd3TeRu | PBE | relaxed

Unit cell a=5.2034 b=5.2034 c=5.2034 alpha=90.00 beta=90.00 gamma=90.00
Closest atoms and distances in Å follow each position.
Space group Pm-3m (No. 221)
Symmetry-distinct sites (fractional):
Cd  0.0000  0.0000  0.5000 [3 per cell]  2 Ru 2.60
Te  0.5000  0.5000  0.5000 [1 per cell]  12 Cd 3.68
Ru  0.0000  0.0000  0.0000 [1 per cell]  6 Cd 2.60

Values from the calculation:
- E: -0.176 Ry per atom
- Uncorrected formation energy: 62 kJ per mole of atoms
- Energy above the most stable polymorph in this dataset: 0.00 kcal/mol of atoms
- Magnetization: 1.039 μB per cell



Record 3
MgCoHgMo2 | PBE | relaxed

Unit cell a=5.0153 b=5.0153 c=4.7091 alpha=90.00 beta=90.00 gamma=90.00
Closest atoms and distances in Å follow each position.
Space group P4/mmm (No. 123)
Symmetry-distinct sites (fractional):
Mg  0.0000  0.0000  0.0000 [1 per cell]  8 Mo 3.44, 4 Co 3.55
Co  0.5000  0.5000  0.0000 [1 per cell]  2 Hg 2.35
Hg  0.5000  0.5000  0.5000 [1 per cell]  2 Co 2.35, 4 Mo 2.51
Mo  0.0000  0.5000  0.5000 [2 per cell]  2 Hg 2.51

Values from the calculation:
- E: -0.293 Ry per atom
- Magnetization: 1.048 μB per cell



Record 4
CeSiBi | PBE | relaxed

Unit cell a=4.2018 b=17.9527 c=4.0718 alpha=90.00 beta=90.00 gamma=90.00
Closest atoms and distances in Å follow each position.
Space group Cmcm (No. 63)
Symmetry-distinct sites (fractional):
Ce  0.0000  0.0924  0.2500 [4 per cell]  6 Si 3.10, 4 Bi 3.41
Si  0.0000  0.4655  0.2500 [4 per cell]  2 Si 2.38
Bi  0.0000  0.3100  0.2500 [4 per cell]  1 Si 2.79

Values from the calculation:
- E: -0.415 Ry per atom
- Uncorrected formation energy: -55 kJ per mole of atoms
- Magnetization: 2.511 μB per cell



Record 5
PmDyMgTc | PBE | relaxed

Unit cell a=7.2032 b=7.2032 c=7.2032 alpha=90.00 beta=90.00 gamma=90.00
Closest atoms and distances in Å follow each position.
Space group F-43m (No. 216)
Symmetry-distinct sites (fractional):
Pm  0.0000  0.0000  0.0000 [4 per cell]  4 Tc 3.12, 4 Mg 3.12
Dy  0.0000  0.0000  0.5000 [4 per cell]  4 Tc 3.12, 4 Mg 3.12
Mg  0.2500  0.2500  0.2500 [4 per cell]  4 Dy 3.12, 4 Pm 3.12
Tc  0.2500  0.2500  0.7500 [4 per cell]  4 Dy 3.12, 4 Pm 3.12

Values from the calculation:
- E: -0.389 Ry per atom
- Magnetization: 0.000 μB per cell



Record 6
HoHfSe3 | PBE | relaxed

Unit cell a=9.2283 b=3.9052 c=13.4682 alpha=90.00 beta=90.00 gamma=90.00
Closest atoms and distances in Å follow each position.
Space group Pnma (No. 62)
Symmetry-distinct sites (fractional):
Ho  0.0039  0.2500  0.1529 [4 per cell]  6 Se 2.81-3.02
Hf  0.1644  0.7500  0.4619 [4 per cell]  6 Se 2.65-2.72
Se  0.0020  0.2500  0.3770 [4 per cell]  3 Hf 2.66-2.71
Se  0.1608  0.7500  0.0359 [4 per cell]  2 Hf 2.72, 3 Ho 2.90-2.96
Se  0.1975  0.2500  0.7894 [4 per cell]  1 Hf 2.65, 2 Ho 2.81

Values from the calculation:
- E: -0.474 Ry per atom
- Uncorrected formation energy: -140 kJ per mole of atoms
- Magnetization: 0.000 μB per cell



Record 7
BePOs2 | PBE | relaxed

Unit cell a=3.4700 b=3.4700 c=8.2548 alpha=90.00 beta=90.00 gamma=90.00
Closest atoms and distances in Å follow each position.
Space group I-4m2 (No. 119)
Symmetry-distinct sites (fractional):
Be  0.0000  0.0000  0.0000 [2 per cell]  8 Os 2.45-2.70, 4 P 2.70
P  0.0000  0.5000  0.2500 [2 per cell]  8 Os 2.45-2.70, 4 Be 2.70
Os  0.0000  0.0000  0.5000 [2 per cell]  4 Be 2.45, 4 P 2.70, 4 Os 2.70
Os  0.0000  0.5000  0.7500 [2 per cell]  4 P 2.45, 4 Be 2.70, 4 Os 2.70

Values from the calculation:
- E: -0.562 Ry per atom
- Magnetization: 0.000 μB per cell



Record 8
BeGeSe2 | PBE | relaxed

Unit cell a=5.9992 b=5.9992 c=10.3763 alpha=90.00 beta=90.00 gamma=90.00
Closest atoms and distances in Å follow each position.
Space group I-42d (No. 122)
Symmetry-distinct sites (fractional):
Be  0.0000  0.0000  0.0000 [4 per cell]  4 Se 2.26
Ge  0.0000  0.0000  0.5000 [4 per cell]  4 Se 2.76
Se  0.1801  0.2500  0.1250 [8 per cell]  2 Be 2.26

Values from the calculation:
- E: -0.303 Ry per atom
- Uncorrected formation energy: -28 kJ per mole of atoms
- Energy above the most stable polymorph in this dataset: 0.00 kcal/mol of atoms
- Magnetization: 0.000 μB per cell



Record 9
Hf3Ni12Sn | PBE | relaxed

Unit cell a=3.7297 b=3.7297 c=14.8973 alpha=90.00 beta=90.00 gamma=90.00
Closest atoms and distances in Å follow each position.
Space group P4/mmm (No. 123)
Symmetry-distinct sites (fractional):
Hf  0.0000  0.0000  0.0000 [1 per cell]  12 Ni 2.63-2.64
Hf  0.0000  0.0000  0.2506 [2 per cell]  12 Ni 2.62-2.65
Ni  0.0000  0.5000  0.1246 [4 per cell]  4 Hf 2.63-2.65, 8 Ni 2.63-2.64
Ni  0.0000  0.5000  0.3737 [4 per cell]  2 Hf 2.62, 8 Ni 2.62-2.65, 2 Sn 2.65
Ni  0.5000  0.5000  0.0000 [1 per cell]  8 Ni 2.63, 4 Hf 2.64
Ni  0.5000  0.5000  0.2501 [2 per cell]  8 Ni 2.62-2.64, 4 Hf 2.64
Ni  0.5000  0.5000  0.5000 [1 per cell]  4 Sn 2.64, 8 Ni 2.65
Sn  0.0000  0.0000  0.5000 [1 per cell]  12 Ni 2.64-2.65

Values from the calculation:
- E: -0.507 Ry per atom
- Magnetization: 0.000 μB per cell



Record 10
Ho4TlAg2Pt | PBE | relaxed

Unit cell a=5.1236 b=5.1236 c=25.0393 alpha=90.00 beta=90.00 gamma=120.00
Closest atoms and distances in Å follow each position.
Space group R-3m (No. 166, hexagonal axes)
Symmetry-distinct sites (fractional):
Ho  0.0000  0.0000  0.1163 [6 per cell]  1 Pt 2.91, 4 Ag 3.03-3.16, 3 Tl 3.22
Ho  0.0000  0.0000  0.3683 [6 per cell]  3 Pt 3.08, 4 Ag 3.15-3.27, 1 Tl 3.30, 3 Ho 3.44
Tl  0.0000  0.0000  0.5000 [3 per cell]  8 Ho 3.22-3.30, 6 Ag 3.51
Ag  0.0000  0.0000  0.2423 [6 per cell]  8 Ho 3.03-3.27
Pt  0.0000  0.0000  0.0000 [3 per cell]  8 Ho 2.91-3.08

Values from the calculation:
- E: -0.341 Ry per atom
- Magnetization: 0.000 μB per cell



Record 11
BeRe2Tc | PBE | relaxed

Unit cell a=3.7252 b=3.7252 c=3.9542 alpha=90.00 beta=90.00 gamma=90.00
Closest atoms and distances in Å follow each position.
Space group P4/mmm (No. 123)
Symmetry-distinct sites (fractional):
Be  0.0000  0.0000  0.0000 [1 per cell]  4 Tc 2.63, 8 Re 2.72
Re  0.0000  0.5000  0.5000 [2 per cell]  4 Re 2.63, 4 Tc 2.72, 4 Be 2.72
Tc  0.5000  0.5000  0.0000 [1 per cell]  4 Be 2.63, 8 Re 2.72

Values from the calculation:
- E: -0.698 Ry per atom
- Magnetization: 0.000 μB per cell



Record 12
CsHgBi | PBE | relaxed

Unit cell a=5.4527 b=7.1881 c=7.7170 alpha=72.23 beta=69.43 gamma=67.74
Closest atoms and distances in Å follow each position.
Space group P1 (No. 1)
Symmetry-distinct sites (fractional):
Cs  0.0000  0.0000  0.0000 [1 per cell]  6 Bi 3.88-4.27, 4 Hg 4.09-4.21, 1 Cs 4.18
Cs  0.1107  0.4203  0.3532 [1 per cell]  5 Hg 3.89-3.99, 3 Bi 4.06-4.11, 1 Cs 4.18
Hg  0.3724  0.8089  0.4414 [1 per cell]  1 Hg 3.02, 2 Bi 3.26
Hg  0.4190  0.4213  0.7405 [1 per cell]  1 Hg 3.02, 3 Bi 3.17-3.24
Bi  0.7056  0.9933  0.5919 [1 per cell]  1 Bi 2.99, 3 Hg 3.24-3.26
Bi  0.7692  0.5946  0.8685 [1 per cell]  1 Bi 2.99, 2 Hg 3.17

Values from the calculation:
- E: -0.145 Ry per atom
- Magnetization: 0.000 μB per cell



Record 13
LiHo2Ag6 | PBE | relaxed

Unit cell a=13.5865 b=10.3543 c=5.2442 alpha=90.00 beta=99.04 gamma=90.00
Closest atoms and distances in Å follow each position.
Space group C2/c (No. 15)
Symmetry-distinct sites (fractional):
Li  0.0000  0.1213  0.2500 [4 per cell]  8 Ag 2.77-2.87
Ho  0.1630  0.3795  0.0692 [8 per cell]  10 Ag 2.99-3.18
Ag  0.0584  0.3446  0.5252 [8 per cell]  1 Li 2.77, 4 Ag 2.91-3.08, 3 Ho 2.99-3.00
Ag  0.1061  0.1117  0.8310 [8 per cell]  2 Li 2.81, 5 Ag 2.87-3.01, 2 Ho 3.09-3.10
Ag  0.2134  0.1281  0.3788 [8 per cell]  5 Ag 2.87-3.08, 1 Li 2.87, 4 Ho 3.06-3.11

Values from the calculation:
- E: -0.243 Ry per atom
- Magnetization: 0.000 μB per cell



Record 14
Ac2HgAuO5 | PBE | relaxed

Unit cell a=7.3891 b=7.3891 c=5.8574 alpha=90.00 beta=90.00 gamma=90.00
Closest atoms and distances in Å follow each position.
Space group P4/mbm (No. 127)
Symmetry-distinct sites (fractional):
Ac  0.1806  0.3194  0.0000 [4 per cell]  8 O 2.45-2.72
Hg  0.0000  0.0000  0.5000 [2 per cell]  10 O 2.93-3.27
Au  0.0000  0.5000  0.5000 [2 per cell]  4 O 2.01
O  0.0000  0.0000  0.0000 [2 per cell]  4 Ac 2.71, 2 Hg 2.93
O  0.1283  0.6283  0.2432 [8 per cell]  1 Au 2.01

Values from the calculation:
- E: -0.434 Ry per atom
- Uncorrected formation energy: -178 kJ per mole of atoms
- Magnetization: 0.004 μB per cell



Record 15
HoZn6Ag2 | PBE | relaxed

Unit cell a=3.4629 b=7.2367 c=12.9120 alpha=90.00 beta=90.00 gamma=90.00
Closest atoms and distances in Å follow each position.
Space group Immm (No. 71)
Symmetry-distinct sites (fractional):
Ho  0.0000  0.0000  0.0000 [2 per cell]  12 Zn 2.94-3.19
Zn  0.0000  0.1720  0.5000 [4 per cell]  3 Zn 2.49-2.54, 4 Ag 2.77
Zn  0.0000  0.3147  0.3203 [8 per cell]  4 Zn 2.54-2.68, 1 Ag 2.72
Ag  0.0000  0.5000  0.1368 [4 per cell]  10 Zn 2.72-2.91

Values from the calculation:
- E: -0.153 Ry per atom
- Magnetization: 0.000 μB per cell



Record 16
NpPa4Se5 | PBE | relaxed

Unit cell a=4.1508 b=4.1508 c=47.8707 alpha=90.00 beta=90.00 gamma=120.00
Closest atoms and distances in Å follow each position.
Space group R-3m (No. 166, hexagonal axes)
Symmetry-distinct sites (fractional):
Np  0.0000  0.0000  0.0000 [3 per cell]  6 Se 2.88
Pa  0.0000  0.0000  0.2001 [6 per cell]  6 Se 2.87-2.88
Pa  0.0000  0.0000  0.4009 [6 per cell]  6 Se 2.87-2.91
Se  0.0000  0.0000  0.1004 [6 per cell]  6 Pa 2.87
Se  0.0000  0.0000  0.3001 [6 per cell]  3 Np 2.88, 3 Pa 2.91
Se  0.0000  0.0000  0.5000 [3 per cell]  6 Pa 2.88

Values from the calculation:
- E: -0.589 Ry per atom
- Uncorrected formation energy: -114 kJ per mole of atoms
- Magnetization: 8.824 μB per cell



Record 17
HoZn8Fe4 | PBE | relaxed

Unit cell a=8.7181 b=8.7181 c=5.0032 alpha=90.00 beta=90.00 gamma=90.00
Closest atoms and distances in Å follow each position.
Space group I4/mmm (No. 139)
Symmetry-distinct sites (fractional):
Ho  0.0000  0.0000  0.0000 [2 per cell]  12 Zn 2.95-3.18
Zn  0.0000  0.2254  0.5000 [8 per cell]  4 Fe 2.52, 6 Zn 2.69-2.78
Zn  0.0000  0.3382  0.0000 [8 per cell]  4 Fe 2.63, 5 Zn 2.69-2.82
Fe  0.2500  0.2500  0.2500 [8 per cell]  2 Fe 2.50, 8 Zn 2.52-2.63

Values from the calculation:
- E: -0.280 Ry per atom
- Magnetization: 13.968 μB per cell



Record 18
NbCrRe2 | PBE | relaxed

Unit cell a=3.0978 b=3.0978 c=6.2494 alpha=90.00 beta=90.00 gamma=90.00
Closest atoms and distances in Å follow each position.
Space group P4/mmm (No. 123)
Symmetry-distinct sites (fractional):
Nb  0.0000  0.0000  0.0000 [1 per cell]  8 Re 2.75
Cr  0.0000  0.0000  0.5000 [1 per cell]  8 Re 2.63
Re  0.5000  0.5000  0.2659 [2 per cell]  4 Cr 2.63, 4 Nb 2.75, 1 Re 2.93

Values from the calculation:
- E: -0.821 Ry per atom
- Magnetization: 0.000 μB per cell



Record 19
Ti7Zn2In3 | PBE | relaxed

Unit cell a=5.8240 b=8.3815 c=17.4131 alpha=90.00 beta=90.00 gamma=90.00
Closest atoms and distances in Å follow each position.
Space group Fmmm (No. 69)
Symmetry-distinct sites (fractional):
Ti  0.0000  0.0000  0.0000 [4 per cell]  2 Zn 2.82, 2 In 2.91, 8 Ti 2.93
Ti  0.2500  0.2500  0.0825 [16 per cell]  6 Ti 2.87-2.93, 2 Zn 2.90, 4 In 2.93-2.99
Ti  0.2500  0.2500  0.2500 [8 per cell]  4 In 2.89, 4 Ti 2.91-2.92, 4 Zn 2.98
Zn  0.0000  0.0000  0.1620 [8 per cell]  9 Ti 2.82-2.98, 3 In 2.89-2.92
In  0.0000  0.0000  0.3281 [8 per cell]  3 Zn 2.89-2.92, 8 Ti 2.89-2.99, 1 In 2.99
In  0.0000  0.0000  0.5000 [4 per cell]  10 Ti 2.91-2.93, 2 In 2.99

Values from the calculation:
- E: -0.412 Ry per atom
- Energy above the most stable polymorph in this dataset: 0.00 kcal/mol of atoms
- Magnetization: 0.000 μB per cell



Record 20
PrLuAgGe | PBE | relaxed

Unit cell a=7.2730 b=7.2730 c=7.2730 alpha=90.00 beta=90.00 gamma=90.00
Closest atoms and distances in Å follow each position.
Space group F-43m (No. 216)
Symmetry-distinct sites (fractional):
Pr  0.0000  0.0000  0.0000 [4 per cell]  4 Ge 3.15, 4 Ag 3.15
Lu  0.0000  0.0000  0.5000 [4 per cell]  4 Ge 3.15, 4 Ag 3.15
Ag  0.2500  0.2500  0.2500 [4 per cell]  4 Pr 3.15, 4 Lu 3.15
Ge  0.2500  0.2500  0.7500 [4 per cell]  4 Pr 3.15, 4 Lu 3.15

Values from the calculation:
- E: -0.343 Ry per atom
- Magnetization: 0.001 μB per cell